Record 1
# TcAg2As2 PBE optimized geometry
data_TcAg2As2
_chemical_formula_sum 'Tc2 Ag4 As4'
_symmetry_space_group_name_H-M 'I 4/m m m'
_symmetry_Int_Tables_number 139
_symmetry_space_group_name_Hall '-I 4 2'
_cell_length_a 3.607
_cell_length_b 3.607
_cell_length_c 14.577
_cell_angle_alpha 90.00
_cell_angle_beta 90.00
_cell_angle_gamma 90.00
loop_
_atom_site_label
_atom_site_type_symbol
_atom_site_fract_x
_atom_site_fract_y
_atom_site_fract_z
_atom_site_occupancy
Tc1 Tc 0.000 0.000 0.000 1
Ag1 Ag 0.000 0.500 0.250 1
As1 As 0.000 0.000 0.412 1
# Energy above the most stable polymorph in this dataset = 376 meV/atom
# E_form = 12.445 kcal/mol of atoms
# M_tot = 3.1 μB per cell


Record 2
# Sr3Te PBE optimized geometry
data_Sr3Te
_chemical_formula_sum 'Sr6 Te2'
_symmetry_space_group_name_H-M 'P m -3 n'
_symmetry_Int_Tables_number 223
_symmetry_space_group_name_Hall '-P 4n 2 3'
_cell_length_a 6.970
_cell_length_b 6.970
_cell_length_c 6.970
_cell_angle_alpha 90.00
_cell_angle_beta 90.00
_cell_angle_gamma 90.00
loop_
_atom_site_label
_atom_site_type_symbol
_atom_site_fract_x
_atom_site_fract_y
_atom_site_fract_z
_atom_site_occupancy
Sr1 Sr 0.000 0.250 0.500 1
Te1 Te 0.000 0.000 0.000 1
# Energy above the most stable polymorph in this dataset = 340 meV/atom
# ΔE_f (raw) = -0.417 eV per atom
# M_tot = 3.6 μB per cell